! PBE with a Hubbard U Sr2CaWO6, relaxed; values from VASP
&SYSTEM
  ibrav = 0, nat = 20, ntyp = 4
/
ATOMIC_SPECIES
O 16.00 O.upf
Sr 87.62 Sr.upf
Ca 40.08 Ca.upf
W 183.84 W.upf
ATOMIC_POSITIONS crystal
O 0.0865 0.4693 0.7727
Sr 0.5106 0.5442 0.7520
Sr 0.9894 0.0442 0.7480
O 0.7296 0.3126 0.9588
O 0.7704 0.8126 0.5412
O 0.6830 0.2686 0.5508
Sr 0.4894 0.4558 0.2480
Ca 0.0000 0.5000 0.5000
O 0.4135 0.9693 0.7273
O 0.9135 0.5307 0.2273
Ca 0.5000 0.0000 0.0000
W 0.5000 0.0000 0.5000
O 0.3170 0.7314 0.4492
O 0.2704 0.6874 0.0412
O 0.2296 0.1874 0.4588
O 0.5865 0.0307 0.2727
O 0.1830 0.2314 0.0508
W 0.0000 0.5000 0.0000
O 0.8170 0.7686 0.9492
Sr 0.0106 0.9558 0.2520
CELL_PARAMETERS angstrom
-2.2427 3.1621 4.3451
2.7505 -3.5015 3.9678
6.6389 4.9719 -0.2145
! Theoretical density: 5.7 g/cm3
! Volume: 14.407 A^3/atom
! DOS(E_F): 0.0 states/eV/f.u.
! Calculated total energy: -6.996 eV/atom